No. 1
Below is GeI3N after structural relaxation, with properties calculated at the PBE-GGA level. Values from VASP.

The structure in Quantum ESPRESSO input format:
```
&SYSTEM
  ibrav = 0, nat = 5, ntyp = 3
/
ATOMIC_SPECIES
I 126.90 I.upf
Ge 72.64 Ge.upf
N 14.01 N.upf
CELL_PARAMETERS angstrom
5.769 0.000 0.000
0.000 5.769 0.000
0.000 0.000 5.769
ATOMIC_POSITIONS crystal
I 0.500 0.000 0.000
I 0.000 0.500 0.000
I 0.000 0.000 0.500
Ge 0.000 0.000 0.000
N 0.500 0.500 0.500
```

**Formation energy (no corrections)**: 1.006 eV per atom
**ΔE to the lowest computed polymorph**: 28 meV/atom
**Crystal system**: cubic



No. 2
Below is NaNpBiAu after structural relaxation, with properties calculated at the PBE-GGA level. Values from VASP.

The structure in Quantum ESPRESSO input format:
```
&SYSTEM
  ibrav = 0, nat = 4, ntyp = 4
/
ATOMIC_SPECIES
Np 237.00 Np.upf
Na 22.99 Na.upf
Bi 208.98 Bi.upf
Au 196.97 Au.upf
CELL_PARAMETERS angstrom
5.259 0.000 0.000
2.629 4.554 0.000
2.629 1.518 4.294
ATOMIC_POSITIONS crystal
Np 0.250 0.250 0.250
Na 0.750 0.750 0.750
Bi 0.500 0.500 0.500
Au 0.000 0.000 0.000
```

**Energy of formation**: -0.1133 eV per atom
**Crystal system**: cubic



Results for total DFT energy (no corrections): -12.6; -21.9 (in eV per cell, following the order of the records).